Here is a geometry-optimized Na2NbCrO4 structure from the Alexandria database. Energies are from GGA+U.

Cell and atoms, written as CIF:
```
data_Na2NbCrO4
_chemical_formula_sum 'Na2 Nb1 Cr1 O4'
_symmetry_space_group_name_H-M 'P 1'
_symmetry_Int_Tables_number 1
_symmetry_space_group_name_Hall 'P 1'
_cell_length_a 3.002
_cell_length_b 5.825
_cell_length_c 6.003
_cell_angle_alpha 112.32
_cell_angle_beta 90.00
_cell_angle_gamma 90.00
loop_
_atom_site_label
_atom_site_fract_x
_atom_site_fract_y
_atom_site_fract_z
Na1 0.500 0.000 0.500
Na2 0.000 0.500 0.500
Nb1 0.500 0.500 0.000
Cr1 0.000 0.000 0.000
O1 0.500 0.254 0.175
O2 0.500 0.746 0.825
O3 0.000 0.283 0.756
O4 0.000 0.717 0.244
```

Calculated values
Final energy ... -55.5 eV per formula unit
Calculated density ... 4.36 g/cm3
M_tot ... 3.9 μB per cell
Space group ... No. 10